[1]
Density functional theory data (GGA-PBE) for a geometry-optimized AcSmHo2Tm4 structure.

Summary:
The calculation puts the density of states at the Fermi level at 12.1 states/eV per cell. The calculation puts the total magnetization at 0.0 Bohr magnetons per cell. The crystal system is orthorhombic. For the total energy, the calculation gives -35.47 eV/cell.

Lattice parameters (Å, degrees): 5.0756 5.1082 10.0032 90.00 90.00 90.00
Space group Pmmm (No. 47)
One atom of each set of equivalent atoms:
Ac: 0.0000 0.0000 0.0000
Sm: 0.5000 0.5000 0.5000
Ho: 0.0000 0.0000 0.5000
Ho: 0.5000 0.5000 0.0000
Tm: 0.0000 0.5000 0.2573
Tm: 0.5000 0.0000 0.2580

[2]
Density functional theory data (GGA-PBE) for a geometry-optimized AcSmHo6Tm2 structure.

Summary:
The calculation puts the density of states at the Fermi level at 59.9 states/eV per cell. The calculation puts the total magnetization at 0.0 Bohr magnetons per cell. The crystal system is monoclinic. For the total energy, the calculation gives -175.63 eV/cell.

Lattice parameters (Å, degrees): 9.2274 15.1250 9.4846 90.00 94.75 90.00
Space group C2/c (No. 15)
One atom of each set of equivalent atoms:
Ac: 0.0000 0.0335 0.2500
Sm: 0.0000 0.4115 0.7500
Ho: 0.0620 0.1860 0.9421
Ho: 0.0986 0.3878 0.1153
Ho: 0.2156 0.2311 0.3221
Tm: 0.2428 0.4438 0.4501

[3]
Density functional theory data (GGA-PBE) for a geometry-optimized AcSmHoTm structure.

Summary:
The calculation puts the density of states at the Fermi level at 27.2 states/eV per cell. The calculation puts the total magnetization at 0.0 Bohr magnetons per cell. The crystal system is cubic. For the total energy, the calculation gives -69.70 eV/cell.

Lattice parameters (Å, degrees): 8.2424 8.2424 8.2424 90.00 90.00 90.00
Space group F-43m (No. 216)
One atom of each set of equivalent atoms:
Ac: 0.0000 0.0000 0.0000
Sm: 0.0000 0.0000 0.5000
Ho: 0.2500 0.2500 0.2500
Tm: 0.2500 0.2500 0.7500

[4]
Density functional theory data (GGA-PBE) for a geometry-optimized AcSm2Ho5Tm structure.

Summary:
The calculation puts the density of states at the Fermi level at 38.3 states/eV per cell. The calculation puts the total magnetization at 0.0 Bohr magnetons per cell. The crystal system is tetragonal. For the total energy, the calculation gives -153.89 eV/cell.

Lattice parameters (Å, degrees): 8.8607 8.8607 15.3280 90.00 90.00 90.00
Space group I4/mcm (No. 140)
One atom of each set of equivalent atoms:
Ac: 0.0000 0.0000 0.2500
Sm: 0.1155 0.3845 0.0000
Ho: 0.0000 0.0000 0.0000
Ho: 0.2055 0.2945 0.3685
Tm: 0.0000 0.5000 0.2500

[5]
Density functional theory data (GGA-PBE) for a geometry-optimized AcSm5YHo2 structure.

Summary:
The calculation puts the density of states at the Fermi level at 46.7 states/eV per cell. The calculation puts the total magnetization at 0.0 Bohr magnetons per cell. The crystal system is orthorhombic. For the total energy, the calculation gives -167.93 eV/cell.

Lattice parameters (Å, degrees): 5.5555 24.1502 9.4858 90.00 90.00 90.00
Space group Cmc2_1 (No. 36)
One atom of each set of equivalent atoms:
Ac: 0.0000 0.1023 0.0000
Sm: 0.0000 0.0248 0.3264
Sm: 0.0000 0.1051 0.6052
Sm: 0.0000 0.1894 0.2983
Sm: 0.0000 0.2418 0.9343
Sm: 0.0000 0.4911 0.1066
Y: 0.0000 0.2632 0.6089
Ho: 0.0000 0.3269 0.2483
Ho: 0.0000 0.3876 0.8609

[6]
Density functional theory data (GGA-PBE) for a geometry-optimized Ac2Sm5YHo structure.

Summary:
The calculation puts the density of states at the Fermi level at 50.1 states/eV per cell. The calculation puts the total magnetization at 0.0 Bohr magnetons per cell. The crystal system is orthorhombic. For the total energy, the calculation gives -166.17 eV/cell.

Lattice parameters (Å, degrees): 5.8104 20.5608 10.9235 90.00 90.00 90.00
Space group Cmc2_1 (No. 36)
One atom of each set of equivalent atoms:
Ac: 0.0000 0.1124 0.0000
Ac: 0.0000 0.1166 0.5842
Sm: 0.0000 0.0188 0.2888
Sm: 0.0000 0.2813 0.5749
Sm: 0.0000 0.2961 0.9694
Sm: 0.0000 0.3881 0.2879
Sm: 0.0000 0.4822 0.0086
Y: 0.0000 0.4083 0.7322
Ho: 0.0000 0.2048 0.2764

[7]
Density functional theory data (GGA-PBE) for a geometry-optimized AcSm3Y6Ho2 structure.

Summary:
The calculation puts the density of states at the Fermi level at 31.6 states/eV per cell. The calculation puts the total magnetization at 0.0 Bohr magnetons per cell. The crystal system is monoclinic. For the total energy, the calculation gives -131.80 eV/cell.

Lattice parameters (Å, degrees): 6.2593 10.8354 11.9400 90.00 100.02 90.00
Space group C2/m (No. 12)
One atom of each set of equivalent atoms:
Ac: 0.0000 0.0000 0.0000
Sm: 0.0000 0.1670 0.5000
Sm: 0.0000 0.5000 0.5000
Y: 0.2476 0.3320 0.7480
Y: 0.2480 0.5000 0.2521
Ho: 0.0000 0.3334 0.0000

[8]
Density functional theory data (GGA-PBE) for a geometry-optimized AcSm6Y3Ho2 structure.

Summary:
The calculation puts the density of states at the Fermi level at 32.0 states/eV per cell. The calculation puts the total magnetization at 0.0 Bohr magnetons per cell. The crystal system is monoclinic. For the total energy, the calculation gives -121.27 eV/cell.

Lattice parameters (Å, degrees): 6.2856 10.8842 12.0170 90.00 100.03 90.00
Space group C2/m (No. 12)
One atom of each set of equivalent atoms:
Ac: 0.0000 0.0000 0.0000
Sm: 0.2467 0.3317 0.7467
Sm: 0.2486 0.5000 0.2537
Y: 0.0000 0.1672 0.5000
Y: 0.0000 0.5000 0.5000
Ho: 0.0000 0.3334 0.0000